1.
A plane-wave DFT calculation with PBE was carried out for crystalline AcDyPt3 at its relaxed geometry.

Summary:
space group = Cmcm
ΔH_f (0 K) = -5.71 eV per formula unit
mass density = 13.62 g cm⁻³
V = 23.76 Å³ per atom

a b c (Å): 4.3519 4.0176 13.7377
angles (deg): 98.41 90.00 90.00
Sites, in units of the cell vectors:
Ac (0.7500, 0.9247, 0.8493)
Ac (0.2500, 0.0753, 0.1507)
Dy (0.2500, 0.7925, 0.5850)
Dy (0.7500, 0.2075, 0.4150)
Pt (0.7500, 0.3111, 0.6222)
Pt (0.7500, 0.6275, 0.2551)
Pt (0.2500, 0.6889, 0.3778)
Pt (0.2500, 0.3725, 0.7449)
Pt (0.7500, 0.5294, 0.0588)
Pt (0.2500, 0.4706, 0.9412)

=====

2.
A plane-wave DFT calculation with PBE was carried out for crystalline AcDy2Pt at its relaxed geometry.

Summary:
space group = R3m
ΔH_f (0 K) = -2.30 eV per formula unit
mass density = 9.32 g cm⁻³
V = 33.29 Å³ per atom

a b c (Å): 4.0773 4.0773 9.5448
angles (deg): 77.67 77.67 60.00
Sites, in units of the cell vectors:
Pt (0.6657, 0.6657, 0.0029)
Dy (0.2779, 0.2779, 0.1663)
Dy (0.0544, 0.0544, 0.8367)
Ac (0.5020, 0.5020, 0.4940)

=====

3.
A plane-wave DFT calculation with PBE was carried out for crystalline AcDy3Pt8 at its relaxed geometry.

Summary:
space group = P3m1
ΔH_f (0 K) = -12.31 eV per formula unit
mass density = 15.97 g cm⁻³
V = 19.71 Å³ per atom

a b c (Å): 5.5013 5.5013 9.0241
angles (deg): 90.00 90.00 120.00
Sites, in units of the cell vectors:
Pt (0.1652, 0.8348, 0.2455)
Pt (0.3333, 0.6667, 0.9999)
Pt (0.3333, 0.6667, 0.4998)
Pt (0.6696, 0.8348, 0.2455)
Pt (0.1652, 0.3304, 0.2455)
Pt (0.5027, 0.0054, 0.7570)
Pt (0.5027, 0.4973, 0.7570)
Pt (0.9946, 0.4973, 0.7570)
Dy (0.0000, 0.0000, 0.9451)
Dy (0.6667, 0.3333, 0.4199)
Dy (0.6667, 0.3333, 0.0595)
Ac (0.0000, 0.0000, 0.5683)

=====

4.
A plane-wave DFT calculation with PBE was carried out for crystalline AcDy2Pt at its relaxed geometry.

Summary:
space group = P4/mmm
ΔH_f (0 K) = -2.34 eV per formula unit
mass density = 10.52 g cm⁻³
V = 29.49 Å³ per atom

a b c (Å): 3.6157 3.6157 9.0231
angles (deg): 90.00 90.00 90.00
Sites, in units of the cell vectors:
Ac (0.5000, 0.5000, 0.5000)
Dy (0.0000, 0.0000, 0.1788)
Dy (0.0000, 0.0000, 0.8212)
Pt (0.5000, 0.5000, 0.0000)

=====

5.
A plane-wave DFT calculation with PBE was carried out for crystalline Ac3DyPt3 at its relaxed geometry.

Summary:
space group = P2_1/c
ΔH_f (0 K) = -6.90 eV per formula unit
mass density = 10.54 g cm⁻³
V = 32.15 Å³ per atom

a b c (Å): 7.6428 8.7501 13.4592
angles (deg): 90.32 90.00 90.00
Sites, in units of the cell vectors:
Pt (0.4501, 0.6526, 0.4540)
Pt (0.5650, 0.6334, 0.8521)
Pt (0.4535, 0.8842, 0.1348)
Pt (0.5499, 0.3474, 0.5460)
Pt (0.0465, 0.8842, 0.6348)
Pt (0.0650, 0.3666, 0.6479)
Pt (0.9535, 0.1158, 0.3652)
Pt (0.4350, 0.3666, 0.1479)
Pt (0.9501, 0.3474, 0.0460)
Pt (0.0499, 0.6526, 0.9540)
Pt (0.5465, 0.1158, 0.8652)
Pt (0.9350, 0.6334, 0.3521)
Ac (0.1557, 0.1164, 0.1672)
Ac (0.3057, 0.3805, 0.9273)
Ac (0.3159, 0.6290, 0.6716)
Ac (0.1841, 0.6290, 0.1716)
Ac (0.8057, 0.6195, 0.5727)
Ac (0.8443, 0.8836, 0.8328)
Ac (0.6943, 0.6195, 0.0727)
Ac (0.3443, 0.1164, 0.6672)
Ac (0.6841, 0.3710, 0.3284)
Ac (0.1943, 0.3805, 0.4273)
Ac (0.8159, 0.3710, 0.8284)
Ac (0.6557, 0.8836, 0.3328)
Dy (0.6535, 0.1408, 0.0655)
Dy (0.1535, 0.8592, 0.4345)
Dy (0.8465, 0.1408, 0.5655)
Dy (0.3465, 0.8592, 0.9345)

=====

6.
A plane-wave DFT calculation with PBE was carried out for crystalline AcDyPt2 at its relaxed geometry.

Summary:
space group = P2_1/m
ΔH_f (0 K) = -4.55 eV per formula unit
mass density = 12.76 g cm⁻³
V = 25.38 Å³ per atom

a b c (Å): 4.7543 6.1563 7.5476
angles (deg): 113.23 90.00 90.00
Sites, in units of the cell vectors:
Pt (0.2500, 0.6828, 0.5798)
Pt (0.7500, 0.3172, 0.4202)
Pt (0.7500, 0.1695, 0.7975)
Pt (0.2500, 0.8305, 0.2025)
Dy (0.7500, 0.7878, 0.4087)
Dy (0.2500, 0.2122, 0.5913)
Ac (0.2500, 0.2900, 0.1222)
Ac (0.7500, 0.7100, 0.8778)

=====

7.
A plane-wave DFT calculation with PBE was carried out for crystalline AcDyPt2 at its relaxed geometry.

Summary:
space group = R3m
ΔH_f (0 K) = -4.19 eV per formula unit
mass density = 11.96 g cm⁻³
V = 27.07 Å³ per atom

a b c (Å): 4.1698 4.1698 7.5827
angles (deg): 74.04 74.04 60.00
Sites, in units of the cell vectors:
Pt (0.0754, 0.0754, 0.7737)
Pt (0.2578, 0.2578, 0.2265)
Dy (0.6698, 0.6698, 0.9906)
Ac (0.4969, 0.4969, 0.5092)

=====

8.
A plane-wave DFT calculation with PBE was carried out for crystalline AcDyPt at its relaxed geometry.

Summary:
space group = P2_1/c
ΔH_f (0 K) = -2.53 eV per formula unit
mass density = 10.97 g cm⁻³
V = 29.50 Å³ per atom

a b c (Å): 6.5773 8.8439 8.8484
angles (deg): 136.54 90.00 90.00
Sites, in units of the cell vectors:
Pt (0.4993, 0.3675, 0.6358)
Pt (0.9993, 0.1325, 0.8642)
Pt (0.0007, 0.8675, 0.1358)
Pt (0.5007, 0.6325, 0.3642)
Dy (0.6891, 0.6917, 0.6911)
Dy (0.8109, 0.1917, 0.1911)
Dy (0.1891, 0.8083, 0.8089)
Dy (0.3109, 0.3083, 0.3089)
Ac (0.4989, 0.1770, 0.8229)
Ac (0.5011, 0.8230, 0.1771)
Ac (0.9989, 0.3230, 0.6771)
Ac (0.0011, 0.6770, 0.3229)

=====

9.
A plane-wave DFT calculation with PBE was carried out for crystalline AcDyPt2 at its relaxed geometry.

Summary:
space group = Amm2
ΔH_f (0 K) = -4.68 eV per formula unit
mass density = 12.90 g cm⁻³
V = 25.09 Å³ per atom

a b c (Å): 3.9539 4.6015 5.8599
angles (deg): 90.00 109.71 90.00
Sites, in units of the cell vectors:
Ac (0.7207, 0.0000, 0.9809)
Pt (0.1689, 0.5000, 0.8772)
Pt (0.9924, 0.0000, 0.5230)
Dy (0.4490, 0.5000, 0.4368)

=====

10.
A plane-wave DFT calculation with PBE was carried out for crystalline AcDyPt at its relaxed geometry.

Summary:
space group = F-43m
ΔH_f (0 K) = -2.10 eV per formula unit
mass density = 10.29 g cm⁻³
V = 31.46 Å³ per atom

a b c (Å): 5.1105 5.1105 5.1105
angles (deg): 60.00 60.00 60.00
Sites, in units of the cell vectors:
Dy (0.5000, 0.5000, 0.5000)
Ac (0.0000, 0.0000, 0.0000)
Pt (0.2500, 0.2500, 0.2500)

=====

11.
A plane-wave DFT calculation with PBE was carried out for crystalline AcDyPt at its relaxed geometry.

Summary:
space group = I4/mmm
ΔH_f (0 K) = -1.95 eV per formula unit
mass density = 8.76 g cm⁻³
V = 36.92 Å³ per atom

a b c (Å): 6.0908 9.0564 9.0564
angles (deg): 83.51 70.35 70.35
Sites, in units of the cell vectors:
Ac (0.1887, 0.3113, 0.3113)
Ac (0.8113, 0.6887, 0.6887)
Ac (0.5000, 0.3113, 0.6887)
Ac (0.5000, 0.6887, 0.3113)
Dy (0.8277, 0.0000, 0.3447)
Dy (0.1723, 0.0000, 0.6553)
Dy (0.1723, 0.6553, 0.0000)
Dy (0.8277, 0.3447, 0.0000)
Pt (0.0000, 0.6766, 0.3234)
Pt (0.3234, 0.6766, 0.6766)
Pt (0.0000, 0.3234, 0.6766)
Pt (0.6766, 0.3234, 0.3234)

=====

12.
A plane-wave DFT calculation with PBE was carried out for crystalline AcDy2Pt at its relaxed geometry.

Summary:
space group = R-3m
ΔH_f (0 K) = -2.22 eV per formula unit
mass density = 9.26 g cm⁻³
V = 33.49 Å³ per atom

a b c (Å): 4.0494 4.0494 9.7184
angles (deg): 77.97 77.97 60.00
Sites, in units of the cell vectors:
Pt (0.0000, 0.0000, 0.0000)
Ac (0.5000, 0.5000, 0.5000)
Dy (0.7212, 0.7212, 0.8365)
Dy (0.2788, 0.2788, 0.1635)

=====

13.
A plane-wave DFT calculation with PBE was carried out for crystalline Ac2DyPt at its relaxed geometry.

Summary:
space group = P4/mmm
ΔH_f (0 K) = -1.76 eV per formula unit
mass density = 10.25 g cm⁻³
V = 32.87 Å³ per atom

a b c (Å): 3.8797 3.8797 8.7358
angles (deg): 90.00 90.00 90.00
Sites, in units of the cell vectors:
Pt (0.5000, 0.5000, 0.0000)
Ac (0.0000, 0.0000, 0.2034)
Ac (0.0000, 0.0000, 0.7966)
Dy (0.5000, 0.5000, 0.5000)

=====

14.
A plane-wave DFT calculation with PBE was carried out for crystalline AcDy3Pt at its relaxed geometry.

Summary:
space group = Pm-3m
ΔH_f (0 K) = -2.13 eV per formula unit
mass density = 8.86 g cm⁻³
V = 34.10 Å³ per atom

a b c (Å): 5.5453 5.5453 5.5453
angles (deg): 90.00 90.00 90.00
Sites, in units of the cell vectors:
Dy (0.0000, 0.0000, 0.5000)
Dy (0.0000, 0.5000, 0.0000)
Dy (0.5000, 0.0000, 0.0000)
Pt (0.0000, 0.0000, 0.0000)
Ac (0.5000, 0.5000, 0.5000)

=====

15.
A plane-wave DFT calculation with PBE was carried out for crystalline Ac3DyPt8 at its relaxed geometry.

Summary:
space group = R3m
ΔH_f (0 K) = -12.41 eV per formula unit
mass density = 16.02 g cm⁻³
V = 20.77 Å³ per atom

a b c (Å): 5.6040 5.6040 9.7188
angles (deg): 73.24 73.24 60.00
Sites, in units of the cell vectors:
Pt (0.4363, 0.4363, 0.1921)
Pt (0.9382, 0.4415, 0.6820)
Pt (0.9353, 0.4363, 0.1921)
Pt (0.1879, 0.1879, 0.4364)
Pt (0.6876, 0.6876, 0.9371)
Pt (0.9382, 0.9382, 0.6820)
Pt (0.4415, 0.9382, 0.6820)
Pt (0.4363, 0.9353, 0.1921)
Ac (0.9976, 0.9976, 0.0072)
Ac (0.3756, 0.3756, 0.8732)
Ac (0.5018, 0.5018, 0.4946)
Dy (0.8737, 0.8737, 0.3790)

=====

16.
A plane-wave DFT calculation with PBE was carried out for crystalline Ac4DyPt4 at its relaxed geometry.

Summary:
space group = C2/m
ΔH_f (0 K) = -9.54 eV per formula unit
mass density = 10.76 g cm⁻³
V = 31.75 Å³ per atom

a b c (Å): 4.3767 7.4567 9.6200
angles (deg): 74.81 76.85 72.93
Sites, in units of the cell vectors:
Pt (0.2986, 0.1105, 0.2922)
Pt (0.0905, 0.7235, 0.0954)
Pt (0.7014, 0.8895, 0.7078)
Pt (0.9095, 0.2765, 0.9046)
Dy (0.5000, 0.0000, 0.0000)
Ac (0.8912, 0.8252, 0.3924)
Ac (0.3012, 0.5869, 0.8107)
Ac (0.1088, 0.1748, 0.6076)
Ac (0.6988, 0.4131, 0.1893)

=====

17.
A plane-wave DFT calculation with PBE was carried out for crystalline AcDyPt2 at its relaxed geometry.

Summary:
space group = P4/mmm
ΔH_f (0 K) = -4.38 eV per formula unit
mass density = 13.45 g cm⁻³
V = 24.06 Å³ per atom

a b c (Å): 3.6301 3.6301 7.3020
angles (deg): 90.00 90.00 90.00
Sites, in units of the cell vectors:
Dy (0.5000, 0.5000, 0.5000)
Ac (0.5000, 0.5000, 0.0000)
Pt (0.0000, 0.0000, 0.7170)
Pt (0.0000, 0.0000, 0.2830)

=====

18.
A plane-wave DFT calculation with PBE was carried out for crystalline AcDyPt10 at its relaxed geometry.

Summary:
space group = Pmmm
ΔH_f (0 K) = -8.74 eV per formula unit
mass density = 17.04 g cm⁻³
V = 19.01 Å³ per atom

a b c (Å): 4.4443 5.4498 9.4180
angles (deg): 90.00 90.00 90.00
Sites, in units of the cell vectors:
Pt (0.5000, 0.0000, 0.5000)
Pt (0.0000, 0.5000, 0.8234)
Pt (0.0000, 0.5000, 0.1766)
Pt (0.0000, 0.0000, 0.3398)
Pt (0.5000, 0.7480, 0.2549)
Pt (0.5000, 0.2520, 0.7451)
Pt (0.0000, 0.0000, 0.6602)
Pt (0.5000, 0.5000, 0.0000)
Pt (0.5000, 0.7480, 0.7451)
Pt (0.5000, 0.2520, 0.2549)
Ac (0.0000, 0.0000, 0.0000)
Dy (0.0000, 0.5000, 0.5000)

=====

19.
A plane-wave DFT calculation with PBE was carried out for crystalline Ac2DyPt at its relaxed geometry.

Summary:
space group = R-3m
ΔH_f (0 K) = -0.90 eV per formula unit
mass density = 8.60 g cm⁻³
V = 39.20 Å³ per atom

a b c (Å): 4.0563 4.0563 11.2500
angles (deg): 79.61 79.61 60.00
Sites, in units of the cell vectors:
Dy (0.0000, 0.0000, 0.0000)
Pt (0.5000, 0.5000, 0.5000)
Ac (0.1102, 0.1102, 0.6695)
Ac (0.8898, 0.8898, 0.3305)

=====

20.
A plane-wave DFT calculation with PBE was carried out for crystalline AcDyPt2 at its relaxed geometry.

Summary:
space group = R-3m
ΔH_f (0 K) = -4.61 eV per formula unit
mass density = 12.13 g cm⁻³
V = 26.67 Å³ per atom

a b c (Å): 4.2568 4.2568 7.2295
angles (deg): 72.88 72.88 60.00
Sites, in units of the cell vectors:
Pt (0.7416, 0.7416, 0.7752)
Pt (0.2584, 0.2584, 0.2248)
Ac (0.5000, 0.5000, 0.5000)
Dy (0.0000, 0.0000, 0.0000)

=====

21.
A plane-wave DFT calculation with PBE was carried out for crystalline AcDyPt at its relaxed geometry.

Summary:
space group = P3m1
ΔH_f (0 K) = -2.30 eV per formula unit
mass density = 9.45 g cm⁻³
V = 34.24 Å³ per atom

a b c (Å): 6.4902 4.2747 4.2747
angles (deg): 120.00 90.00 90.00
Sites, in units of the cell vectors:
Pt (0.3557, 0.3333, 0.6667)
Dy (0.5637, 0.6667, 0.3333)
Ac (0.0806, 0.0000, 0.0000)

=====

22.
A plane-wave DFT calculation with PBE was carried out for crystalline AcDyPt2 at its relaxed geometry.

Summary:
space group = Fm-3m
ΔH_f (0 K) = -4.12 eV per formula unit
mass density = 13.31 g cm⁻³
V = 24.31 Å³ per atom

a b c (Å): 5.1619 5.1619 5.1619
angles (deg): 60.00 60.00 60.00
Sites, in units of the cell vectors:
Pt (0.7500, 0.7500, 0.7500)
Pt (0.2500, 0.2500, 0.2500)
Ac (0.0000, 0.0000, 0.0000)
Dy (0.5000, 0.5000, 0.5000)

=====

23.
A plane-wave DFT calculation with PBE was carried out for crystalline Ac2Dy3Pt2 at its relaxed geometry.

Summary:
space group = C2/m
ΔH_f (0 K) = -5.28 eV per formula unit
mass density = 10.63 g cm⁻³
V = 29.72 Å³ per atom

a b c (Å): 3.9089 6.6988 8.7829
angles (deg): 73.09 77.14 73.04
Sites, in units of the cell vectors:
Ac (0.8409, 0.5138, 0.8045)
Ac (0.1591, 0.4862, 0.1955)
Dy (0.6203, 0.1920, 0.5673)
Dy (0.3797, 0.8080, 0.4327)
Dy (0.5000, 0.0000, 0.0000)
Pt (0.1626, 0.9186, 0.7563)
Pt (0.8374, 0.0814, 0.2437)

=====

24.
A plane-wave DFT calculation with PBE was carried out for crystalline AcDyPtRh at its relaxed geometry.

Summary:
space group = F-43m
ΔH_f (0 K) = -3.37 eV per formula unit
mass density = 12.12 g cm⁻³
V = 23.55 Å³ per atom

a b c (Å): 5.1073 5.1073 5.1073
angles (deg): 60.00 60.00 60.00
Sites, in units of the cell vectors:
Pt (0.2500, 0.2500, 0.2500)
Rh (0.7500, 0.7500, 0.7500)
Ac (0.5000, 0.5000, 0.5000)
Dy (0.0000, 0.0000, 0.0000)

=====

25.
A plane-wave DFT calculation with PBE was carried out for crystalline AcDyRuPt at its relaxed geometry.

Summary:
space group = F-43m
ΔH_f (0 K) = -2.15 eV per formula unit
mass density = 12.25 g cm⁻³
V = 23.23 Å³ per atom

a b c (Å): 5.0841 5.0841 5.0841
angles (deg): 60.00 60.00 60.00
Sites, in units of the cell vectors:
Dy (0.7500, 0.7500, 0.7500)
Ru (0.0000, 0.0000, 0.0000)
Pt (0.5000, 0.5000, 0.5000)
Ac (0.2500, 0.2500, 0.2500)